# AcInAuSe

AcInAuSe after structural relaxation (GGA-PBE, Alexandria via LeMat-Bulk). Values from VASP.

Cell and atoms, written as Quantum ESPRESSO input:
```
&SYSTEM
  ibrav = 0, nat = 4, ntyp = 4
/
ATOMIC_SPECIES
Ac 227.00 Ac.upf
Au 196.97 Au.upf
Se 78.96 Se.upf
In 114.82 In.upf
CELL_PARAMETERS angstrom
-1.3353 -2.8476 -4.2901
-1.7394 -4.9958 0.5595
-5.1059 -1.1595 -0.9391
ATOMIC_POSITIONS angstrom
Ac -6.1355 -6.7522 -3.5023
Au 0.0000 0.0000 0.0000
Se -4.0903 -4.5015 -2.3349
In -2.0452 -2.2507 -1.1674
```

Calculated values
The energy is -17.02 eV for the cell shown. The calculation puts the formation energy without anion corrections at -853 meV per atom. The magnetization is 0.0000 μB per atom.

# InSnRu

InSnRu after structural relaxation (GGA-PBE, Alexandria via LeMat-Bulk). Values from VASP.

Cell and atoms, written as Quantum ESPRESSO input:
```
&SYSTEM
  ibrav = 0, nat = 3, ntyp = 3
/
ATOMIC_SPECIES
Ru 101.07 Ru.upf
Sn 118.71 Sn.upf
In 114.82 In.upf
CELL_PARAMETERS angstrom
3.1846 0.0000 0.0000
0.0000 3.1846 0.0000
-1.5923 -1.5923 6.1280
ATOMIC_POSITIONS angstrom
Ru 1.5923 1.5923 2.0651
Sn 0.0000 0.0000 3.6967
In 0.0000 0.0000 0.3662
```

Calculated values
The energy is -15.78 eV for the cell shown. The calculation puts the formation energy at 0.077 eV/atom. The magnetization is 0.0000 μB per atom.

# PrTm9Th2

PrTm9Th2 after structural relaxation (GGA-PBE, Alexandria via LeMat-Bulk). Values from VASP.

Cell and atoms, written as Quantum ESPRESSO input:
```
&SYSTEM
  ibrav = 0, nat = 12, ntyp = 3
/
ATOMIC_SPECIES
Pr 140.91 Pr.upf
Tm 168.93 Tm.upf
Th 232.04 Th.upf
CELL_PARAMETERS angstrom
4.9770 0.0000 0.0000
0.0000 4.9770 0.0000
0.0000 0.0000 14.9852
ATOMIC_POSITIONS angstrom
Pr 0.0000 0.0000 0.0000
Tm 2.4885 2.4885 0.0000
Tm 2.4885 2.4885 5.0077
Tm 2.4885 2.4885 9.9774
Tm 2.4885 0.0000 2.5528
Tm 2.4885 0.0000 7.4926
Tm 2.4885 0.0000 12.4324
Tm 0.0000 2.4885 2.5528
Tm 0.0000 2.4885 7.4926
Tm 0.0000 2.4885 12.4324
Th 0.0000 0.0000 5.0121
Th 0.0000 0.0000 9.9731
```

Calculated values
The energy is -59.49 eV for the cell shown. The calculation puts the formation energy at 0.031 eV/atom. The magnetization is 0.0002 μB per atom.

# Nd3ZnOs

Nd3ZnOs after structural relaxation (GGA-PBE, Alexandria via LeMat-Bulk). Values from VASP.

Cell and atoms, written as Quantum ESPRESSO input:
```
&SYSTEM
  ibrav = 0, nat = 10, ntyp = 3
/
ATOMIC_SPECIES
Nd 144.24 Nd.upf
Zn 65.41 Zn.upf
Os 190.23 Os.upf
CELL_PARAMETERS angstrom
5.8436 0.0726 -1.1978
-2.7022 5.1818 -1.1977
-0.0686 -0.1156 8.6766
ATOMIC_POSITIONS angstrom
Nd -0.4082 4.1681 -0.4129
Nd 3.4810 0.9707 6.6940
Nd -0.0967 1.0461 2.1678
Nd 3.1695 4.0926 4.1133
Nd 2.5379 3.0372 0.9701
Nd 0.5349 2.1015 5.3110
Zn 3.4847 0.9774 3.2840
Zn -0.4119 4.1614 2.9971
Os 0.7853 1.3136 -0.5989
Os 2.3560 3.9407 -1.7966
```

Calculated values
The energy is -55.32 eV for the cell shown. The calculation puts the formation energy at -0.170 eV/atom. The magnetization is 0.0000 μB per atom.